DFT (PBE) results for an optimized crystal structure of NaU2S6.

Unit cell a=5.2062 b=7.0852 c=8.2395 alpha=72.31 beta=71.58 gamma=68.44
Fractional coordinates of all 9 atoms:
Na 0.0000 0.5000 0.5000
U 0.1763 0.7413 0.9061
U 0.8237 0.2587 0.0939
S 0.6982 0.6644 0.9393
S 0.3018 0.3356 0.0607
S 0.9734 0.8548 0.1985
S 0.3451 0.6986 0.6112
S 0.0266 0.1452 0.8015
S 0.6549 0.3014 0.3888

Energy relative to the lowest polymorph listed for this composition   0.000 eV/atom
Formation energy from raw total energies   -1094 meV/atom
Symmetry   C2/m (12)


DFT (PBE) results for an optimized crystal structure of PdSe2I.

Unit cell a=7.2911 b=4.2982 c=12.8326 alpha=90.00 beta=90.00 gamma=90.00
Fractional coordinates of all 16 atoms:
I 0.3827 0.2500 0.3932
I 0.1173 0.7500 0.8932
I 0.6173 0.7500 0.6068
I 0.8827 0.2500 0.1068
Se 0.8353 0.2500 0.4981
Se 0.6647 0.7500 0.9981
Se 0.1647 0.7500 0.5019
Se 0.3353 0.2500 0.0019
Se 0.4162 0.2500 0.7085
Se 0.0838 0.7500 0.2085
Se 0.5838 0.7500 0.2915
Se 0.9162 0.2500 0.7915
Pd 0.1035 0.2500 0.6203
Pd 0.3965 0.7500 0.1203
Pd 0.8965 0.7500 0.3797
Pd 0.6035 0.2500 0.8797

Energy relative to the lowest polymorph listed for this composition   0.272 eV/atom
Formation energy from raw total energies   85 meV/atom
Symmetry   Pnma (62)


DFT (PBE) results for an optimized crystal structure of NaZn2IO6.

Unit cell a=5.7389 b=5.7389 c=5.7389 alpha=55.66 beta=55.66 gamma=55.66
Fractional coordinates of all 10 atoms:
Na 0.4912 0.4912 0.4912
Zn 0.2166 0.2166 0.2166
Zn 0.7057 0.7057 0.7057
I 0.0074 0.0074 0.0074
O 0.3794 0.0655 0.8238
O 0.0655 0.8238 0.3794
O 0.9279 0.2448 0.6382
O 0.6382 0.9279 0.2448
O 0.8238 0.3794 0.0655
O 0.2448 0.6382 0.9279

Formation energy from raw total energies   -990 meV/atom
Symmetry   R3 (146)


DFT (PBE) results for an optimized crystal structure of Pm2ThGa.

Unit cell a=3.5911 b=3.5911 c=8.9001 alpha=90.00 beta=90.00 gamma=90.00
Fractional coordinates of all 4 atoms:
Ga 0.5000 0.5000 0.0000
Th 0.5000 0.5000 0.5000
Pm 0.0000 0.0000 0.7820
Pm 0.0000 0.0000 0.2180

Formation energy   -252 meV per atom
Energy relative to the lowest polymorph listed for this composition   0.000 eV/atom
Symmetry   P4/mmm (123)


DFT (PBE) results for an optimized crystal structure of LaGaPRh3.

Unit cell a=5.6510 b=6.8338 c=6.8534 alpha=119.91 beta=90.00 gamma=90.00
Fractional coordinates of all 12 atoms:
La 0.7500 0.2776 0.5553
La 0.2500 0.7224 0.4447
Ga 0.2500 0.9986 0.9972
Ga 0.7500 0.0014 0.0028
P 0.2500 0.3955 0.7911
P 0.7500 0.6045 0.2089
Rh 0.2500 0.2086 0.4172
Rh 0.0000 0.2981 0.0000
Rh 0.5000 0.7019 0.0000
Rh 0.5000 0.2981 0.0000
Rh 0.0000 0.7019 0.0000
Rh 0.7500 0.7914 0.5828

Formation energy   -741 meV per atom
Symmetry   Cmcm (63)


DFT (PBE) results for an optimized crystal structure of Re2TcHgBr.

Unit cell a=4.7894 b=5.1651 c=4.7894 alpha=90.00 beta=90.00 gamma=90.00
Fractional coordinates of all 5 atoms:
Re 0.0000 0.0000 0.5000
Re 0.5000 0.0000 0.0000
Hg 0.5000 0.5000 0.5000
Br 0.0000 0.5000 0.0000
Tc 0.0000 0.0000 0.0000

Formation energy from raw total energies   1845 meV/atom
Symmetry   P4/mmm (123)